An optimized crystal structure of Pu2HgTe. Source: Alexandria, functional PBE-GGA.

As for the uncorrected formation energy: -452 meV per atom. As for the volume: 432 Å³ per cell. Its final energy is -8.478 eV per atom. The magnetization is 53.40 μB/cell.

It has space group Fm-3m (No. 225), with a = 7.560 Å, b = 7.560 Å, c = 7.560 Å, α = 90.00°, β = 90.00° and γ = 90.00°. The asymmetric unit holds Pu at (0.250, 0.250, 0.250), Hg at (0.000, 0.000, 0.000) and Te at (0.000, 0.000, 0.500).